11
Lattice="-1.537 -3.019 -2.159 4.450 1.128 -4.745 2.351 -2.894 6.110" Properties=species:S:1:pos:R:3 comment="V2Rh8W PBE relaxed" crystal_system=orthorhombic formation_enthalpy_0k_mev_per_atom=-219 total_magnetization_mub_per_fu=0.000 space_group=Immm pbc="T T T"
Rh 2.150 -5.574 2.526
Rh 3.114 0.789 -3.320
Rh 3.570 -2.404 0.819
Rh 1.694 -2.381 -1.614
Rh 1.674 -2.884 2.841
Rh 4.120 -3.631 -1.593
Rh 1.144 -1.154 0.799
Rh 3.590 -1.900 -3.636
W -0.769 -1.510 -1.080
V 1.524 -3.821 0.521
V 3.740 -0.964 -1.315